1.
# CaZnCdAu3

A relaxed CaZnCdAu3 crystal (GGA-PBE, Alexandria).

a = 7.185 Å, b = 7.185 Å, c = 5.916 Å
α = 90.00°, β = 90.00°, γ = 113.39°
Element x y z (fractional)
Ca 0.179 0.821 0.750
Ca 0.821 0.179 0.250
Zn 0.428 0.572 0.750
Zn 0.572 0.428 0.250
Cd 0.114 0.886 0.250
Cd 0.886 0.114 0.750
Au 0.247 0.247 0.000
Au 0.247 0.247 0.500
Au 0.342 0.658 0.250
Au 0.658 0.342 0.750
Au 0.753 0.753 0.000
Au 0.753 0.753 0.500

## Properties
Energy relative to the elements, meV/atom: -246
Symmetry: Cmcm

---

2.
# MnIn2Cl

A relaxed MnIn2Cl crystal (GGA-PBE, Alexandria).

a = 3.198 Å, b = 5.068 Å, c = 5.787 Å
α = 90.00°, β = 90.00°, γ = 90.00°
Element x y z (fractional)
Mn 0.000 0.000 0.000
In 0.000 0.000 0.500
In 0.500 0.500 0.001
Cl 0.500 0.500 0.501

## Properties
Energy above the lowest structure with this stoichiometry, eV/atom: 0.130
Formation energy from raw total energies, eV/atom: -0.0045
Symmetry: Pmm2

---

3.
# NaTlSnBr6

A relaxed NaTlSnBr6 crystal (GGA-PBE, Alexandria).

a = 7.440 Å, b = 7.440 Å, c = 13.883 Å
α = 90.00°, β = 90.00°, γ = 120.00°
Element x y z (fractional)
Na 0.333 0.667 0.250
Na 0.667 0.333 0.750
Tl 0.000 0.000 0.000
Tl 0.000 0.000 0.500
Sn 0.333 0.667 0.750
Sn 0.667 0.333 0.250
Br 0.034 0.384 0.638
Br 0.034 0.651 0.862
Br 0.349 0.384 0.862
Br 0.349 0.966 0.638
Br 0.384 0.034 0.138
Br 0.384 0.349 0.362
Br 0.616 0.651 0.638
Br 0.616 0.966 0.862
Br 0.651 0.034 0.362
Br 0.651 0.616 0.138
Br 0.966 0.349 0.138
Br 0.966 0.616 0.362

## Properties
Formation energy from raw total energies, eV/atom: -0.8932
Symmetry: P-31c

---

4.
# BeRuSe3

A relaxed BeRuSe3 crystal (GGA-PBE, Alexandria).

a = 4.862 Å, b = 4.862 Å, c = 4.862 Å
α = 90.00°, β = 90.00°, γ = 90.00°
Element x y z (fractional)
Be 0.000 0.000 0.000
Ru 0.500 0.500 0.500
Se 0.000 0.500 0.500
Se 0.500 0.000 0.500
Se 0.500 0.500 0.000

## Properties
Energy above the lowest structure with this stoichiometry, eV/atom: 0.157
Formation energy from raw total energies, eV/atom: 0.8549
Symmetry: Pm-3m

---

5.
# CaZnSbI

A relaxed CaZnSbI crystal (GGA-PBE, Alexandria).

a = 15.415 Å, b = 15.415 Å, c = 15.415 Å
α = 16.78°, β = 16.78°, γ = 16.78°
Element x y z (fractional)
Ca 0.083 0.083 0.083
Ca 0.917 0.917 0.917
Zn 0.312 0.312 0.312
Zn 0.688 0.688 0.688
Sb 0.373 0.373 0.373
Sb 0.627 0.627 0.627
I 0.212 0.212 0.212
I 0.788 0.788 0.788

## Properties
Formation energy from raw total energies, eV/atom: -0.8834
Symmetry: R-3m

---

6.
# Pr4ZnNi

A relaxed Pr4ZnNi crystal (GGA-PBE, Alexandria).

a = 9.803 Å, b = 9.803 Å, c = 9.803 Å
α = 60.00°, β = 60.00°, γ = 60.00°
Element x y z (fractional)
Pr 0.187 0.187 0.813
Pr 0.187 0.813 0.187
Pr 0.187 0.813 0.813
Pr 0.399 0.399 0.399
Pr 0.399 0.399 0.802
Pr 0.399 0.802 0.399
Pr 0.555 0.555 0.945
Pr 0.555 0.945 0.555
Pr 0.555 0.945 0.945
Pr 0.802 0.399 0.399
Pr 0.813 0.187 0.187
Pr 0.813 0.187 0.813
Pr 0.813 0.813 0.187
Pr 0.945 0.555 0.555
Pr 0.945 0.555 0.945
Pr 0.945 0.945 0.555
Zn 0.172 0.172 0.172
Zn 0.172 0.172 0.483
Zn 0.172 0.483 0.172
Zn 0.483 0.172 0.172
Ni 0.179 0.607 0.607
Ni 0.607 0.179 0.607
Ni 0.607 0.607 0.179
Ni 0.607 0.607 0.607

## Properties
Energy relative to the elements, meV/atom: -191
Energy above the lowest structure with this stoichiometry, eV/atom: 0.000
Symmetry: F-43m

---

7.
# PmSm3Al8

A relaxed PmSm3Al8 crystal (GGA-PBE, Alexandria).

a = 5.632 Å, b = 5.632 Å, c = 9.278 Å
α = 90.00°, β = 90.00°, γ = 120.00°
Element x y z (fractional)
Pm 0.000 0.000 0.000
Sm 0.000 0.000 0.364
Sm 0.667 0.333 0.500
Sm 0.667 0.333 0.864
Al 0.162 0.324 0.682
Al 0.162 0.838 0.682
Al 0.333 0.667 0.432
Al 0.333 0.667 0.932
Al 0.504 0.009 0.182
Al 0.504 0.496 0.182
Al 0.676 0.838 0.682
Al 0.991 0.496 0.182

## Properties
Energy relative to the elements, meV/atom: -501
Energy above the lowest structure with this stoichiometry, eV/atom: 0.010
Symmetry: P3m1

---

8.
# Re2B2Pd

A relaxed Re2B2Pd crystal (GGA-PBE, Alexandria).

a = 5.633 Å, b = 5.633 Å, c = 3.508 Å
α = 90.00°, β = 90.00°, γ = 90.00°
Element x y z (fractional)
Re 0.177 0.323 0.000
Re 0.323 0.823 0.000
Re 0.677 0.177 0.000
Re 0.823 0.677 0.000
B 0.111 0.611 0.500
B 0.389 0.111 0.500
B 0.611 0.889 0.500
B 0.889 0.389 0.500
Pd 0.000 0.000 0.500
Pd 0.500 0.500 0.500

## Properties
Energy relative to the elements, meV/atom: 45
Symmetry: P4/mbm

---

9.
# PmUIr4

A relaxed PmUIr4 crystal (GGA-PBE, Alexandria).

a = 5.379 Å, b = 5.379 Å, c = 5.379 Å
α = 60.00°, β = 60.00°, γ = 60.00°
Element x y z (fractional)
Pm 0.000 0.000 0.000
U 0.250 0.250 0.250
Ir 0.125 0.625 0.625
Ir 0.625 0.125 0.625
Ir 0.625 0.625 0.125
Ir 0.625 0.625 0.625

## Properties
Energy relative to the elements, meV/atom: -598
Symmetry: F-43m

---

10.
# UZnP2

A relaxed UZnP2 crystal (GGA-PBE, Alexandria).

a = 4.299 Å, b = 4.299 Å, c = 3.580 Å
α = 90.00°, β = 90.00°, γ = 90.00°
Element x y z (fractional)
U 0.000 0.000 0.000
Zn 0.500 0.500 0.000
P 0.000 0.500 0.500
P 0.500 0.000 0.500

## Properties
Energy relative to the elements, meV/atom: -579
Symmetry: P4/mmm

---

What did the tenth record say?
# UZnP2

A relaxed UZnP2 crystal (GGA-PBE, Alexandria).

a = 4.299 Å, b = 4.299 Å, c = 3.580 Å
α = 90.00°, β = 90.00°, γ = 90.00°
Element x y z (fractional)
U 0.000 0.000 0.000
Zn 0.500 0.500 0.000
P 0.000 0.500 0.500
P 0.500 0.000 0.500

## Properties
Energy relative to the elements, meV/atom: -579
Symmetry: P4/mmm